NdYLuGa | PBE | relaxed

abc: 7.573 7.573 7.573
angles: 90.00 90.00 90.00
Space group F-43m (No. 216)
One atom of each set of equivalent atoms:
Nd1 0.000 0.000 0.000 (multiplicity 4)
Y1 0.000 0.000 0.500 (multiplicity 4)
Lu1 0.250 0.250 0.750 (multiplicity 4)
Ga1 0.250 0.250 0.250 (multiplicity 4)

Results
Crystal system = cubic
Theoretical density = 7.3 Mg/m³
E_form = -0.116 eV per atom